A relaxed structure of Ba2LiTc, computed with PBE-GGA.

Output
Its energy relative to the lowest polymorph listed for this composition is 189 meV/atom. Its size of the total moment is 2.1 Bohr magnetons per cell. The calculation puts the density of states at the Fermi level at 6.7 states/eV/f.u. The value obtained for the energy relative to the elements is 0.832 eV per atom. The total energy is -3.199 eV/atom. As for the space-group type: F-43m (216).

POSCAR file:
```
Ba2LiTc
1.0
0.0000 3.9151 3.9151
3.9151 0.0000 3.9151
3.9151 3.9151 0.0000
Ba Li Tc
2 1 1
Direct
0.0000 0.0000 0.0000
0.2500 0.2500 0.2500
0.5000 0.5000 0.5000
0.7500 0.7500 0.7500
```

---

A relaxed structure of Na2AlGeP, computed with PBE-GGA.

Output
Its size of the total moment is 0.0 Bohr magnetons per cell. The calculation puts the density of states at the Fermi level at 3.8 states/eV/f.u. The value obtained for the energy relative to the elements is 0.516 eV per atom. The total energy is -2.766 eV/atom. As for the space-group type: P4/mmm (123).

POSCAR file:
```
Na2AlGeP
1.0
5.4044 0.0000 0.0000
0.0000 5.4044 0.0000
0.0000 0.0000 4.9064
Na Al Ge P
2 1 1 1
Direct
0.0000 0.5000 0.0000
0.5000 0.0000 0.0000
0.0000 0.0000 0.5000
0.5000 0.5000 0.0000
0.5000 0.5000 0.5000
```

---

A relaxed structure of Pa2CoCuGe, computed with PBE-GGA.

Output
Its size of the total moment is 0.0 Bohr magnetons per cell. The calculation puts the density of states at the Fermi level at 6.2 states/eV/f.u. The value obtained for the energy relative to the elements is -0.274 eV per atom. The total energy is -7.236 eV/atom. As for the space-group type: P2_1/m (11).

POSCAR file:
```
Pa2CoCuGe
1.0
6.8286 0.0000 0.0000
0.0000 3.8988 0.0000
-1.7691 0.0000 6.9305
Pa Co Cu Ge
4 2 2 2
Direct
0.0881 0.2500 0.3706
0.3088 0.2500 0.9702
0.6912 0.7500 0.0298
0.9119 0.7500 0.6294
0.0862 0.7500 0.0997
0.9138 0.2500 0.9003
0.3522 0.7500 0.6524
0.6478 0.2500 0.3476
0.4221 0.7500 0.3180
0.5779 0.2500 0.6820
```

---

A relaxed structure of SrPuZn2Pt2, computed with PBE-GGA.

Output
Its size of the total moment is 5.6 Bohr magnetons per cell. The calculation puts the density of states at the Fermi level at 10.8 states/eV/f.u. The value obtained for the energy relative to the elements is -0.676 eV per atom. The total energy is -5.784 eV/atom. As for the space-group type: P-3m1 (164).

POSCAR file:
```
SrPuZn2Pt2
1.0
4.4806 0.0000 0.0000
-2.2403 3.8803 0.0000
0.0000 0.0000 7.6780
Sr Pu Zn Pt
1 1 2 2
Direct
0.0000 0.0000 0.0000
0.0000 0.0000 0.5000
0.3333 0.6667 0.7217
0.6667 0.3333 0.2783
0.3333 0.6667 0.2990
0.6667 0.3333 0.7010
```